[1]
Computed, not measured: an optimized crystal structure of AlMoN2F at the PBE with a Hubbard U level of DFT.

Cell: 4.0296 4.0296 4.1615 Å, 90.00 90.00 90.00°
Site moments in Bohr magnetons follow the coordinates.
Fractional positions:
F 0.0000 0.0000 0.5000  0.03
Mo 0.0000 0.0000 0.0000  1.48
N 0.0000 0.5000 0.0000  -0.35
N 0.5000 0.0000 0.0000  -0.35
Al 0.5000 0.5000 0.5000  -0.01

Values from the calculation:
relative energy among the computed polymorphs = 463 meV/atom
crystal system = tetragonal

[2]
Computed, not measured: an optimized crystal structure of KFeCl2F at the PBE with a Hubbard U level of DFT.

Cell: 5.1489 5.1489 4.0401 Å, 90.00 90.00 90.00°
Site moments in Bohr magnetons follow the coordinates.
Fractional positions:
Fe 0.0000 0.0000 0.0000  3.79
F 0.0000 0.0000 0.5000  0.06
Cl 0.5000 0.0000 0.0000  0.03
Cl 0.0000 0.5000 0.0000  0.03
K 0.5000 0.5000 0.5000  0.00

Values from the calculation:
energy = -21.59 eV per formula unit
crystal system = tetragonal

Number 1: spin magnetization 0.598 Bohr magnetons per cell. Number 2: spin magnetization 4.008 Bohr magnetons per cell.